Entry 1:
The following is a DFT calculation (PBE) of a relaxed Na3Th3PaTe8 crystal.

The space group is R-3m (No. 166, hexagonal axes) and the conventional cell measures 8.7624, 8.7624 and 23.5835 Å, with angles of 90.00, 90.00 and 120.00 degrees. The asymmetric unit holds Na at (0.0000, 0.5000, 0.0000), Th at (0.0000, 0.5000, 0.5000), Pa at (0.0000, 0.0000, 0.5000), Te at (0.0000, 0.0000, 0.2486) and Te at (0.0023, 0.5011, 0.2467).

The total magnetization comes out at 6.4 μB/cell.

***

Entry 2:
The following is a DFT calculation (PBE) of a relaxed Na2ThPaTe5 crystal.

The space group is P4/mmm (No. 123) and the conventional cell measures 5.676, 5.676 and 11.968 Å, with angles of 90.00, 90.00 and 90.00 degrees. The asymmetric unit holds Na at (0.000, 0.000, 0.231), Th at (0.500, 0.500, 0.500), Pa at (0.500, 0.500, 0.000), Te at (0.000, 0.000, 0.500), Te at (0.000, 0.500, 0.000) and Te at (0.500, 0.500, 0.256).

The total magnetization comes out at 1.1 μB/cell.

***

Entry 3:
The following is a DFT calculation (PBE) of a relaxed Na4Pa3TiTe8 crystal.

The space group is R-3m (No. 166, hexagonal axes) and the conventional cell measures 8.5342, 8.5342 and 23.4972 Å, with angles of 90.00, 90.00 and 120.00 degrees. The asymmetric unit holds Na at (0.0000, 0.0000, 0.0000), Na at (0.0000, 0.5000, 0.0000), Pa at (0.0000, 0.5000, 0.5000), Ti at (0.0000, 0.0000, 0.5000), Te at (0.0000, 0.0000, 0.2477) and Te at (0.0164, 0.5082, 0.2434).

The total magnetization comes out at 20.8 μB/cell.

***

Entry 4:
The following is a DFT calculation (PBE) of a relaxed Na2PaTl3Te6 crystal.

The space group is C2/m (No. 12) and the conventional cell measures 7.936, 13.841 and 8.008 Å, with angles of 90.00, 109.55 and 90.00 degrees. The asymmetric unit holds Na at (0.000, 0.167, 0.000), Pa at (0.000, 0.500, 0.000), Tl at (0.000, 0.000, 0.500), Tl at (0.000, 0.338, 0.500), Te at (0.232, 0.344, 0.229) and Te at (0.236, 0.500, 0.772).

The total magnetization comes out at 0.0 μB/cell.

***

Entry 5:
The following is a DFT calculation (PBE) of a relaxed NaPa3Tl4Te8 crystal.

The space group is R-3m (No. 166, hexagonal axes) and the conventional cell measures 8.9138, 8.9138 and 24.7923 Å, with angles of 90.00, 90.00 and 120.00 degrees. The asymmetric unit holds Na at (0.0000, 0.0000, 0.0000), Pa at (0.0000, 0.5000, 0.0000), Tl at (0.0000, 0.0000, 0.5000), Tl at (0.0000, 0.5000, 0.5000), Te at (0.0000, 0.0000, 0.2613) and Te at (0.0119, 0.5060, 0.2615).

The total magnetization comes out at 12.0 μB/cell.

***

Entry 6:
The following is a DFT calculation (PBE) of a relaxed Na2PaTlTe4 crystal.

The space group is P2/m (No. 10) and the conventional cell measures 7.668, 4.564 and 8.321 Å, with angles of 90.00, 108.85 and 90.00 degrees. The asymmetric unit holds Na at (0.000, 0.000, 0.000), Na at (0.000, 0.500, 0.500), Pa at (0.500, 0.000, 0.500), Tl at (0.500, 0.500, 0.000), Te at (0.265, 0.000, 0.718) and Te at (0.271, 0.500, 0.280).

The total magnetization comes out at 0.1 μB/cell.

***

Entry 7:
The following is a DFT calculation (PBE) of a relaxed NaPaTl2Te4 crystal.

The space group is P2/m (No. 10) and the conventional cell measures 7.805, 4.543 and 8.439 Å, with angles of 90.00, 107.27 and 90.00 degrees. The asymmetric unit holds Na at (0.000, 0.000, 0.000), Pa at (0.500, 0.500, 0.000), Tl at (0.000, 0.500, 0.500), Tl at (0.500, 0.000, 0.500), Te at (0.266, 0.500, 0.217) and Te at (0.280, 0.000, 0.788).

The total magnetization comes out at 0.1 μB/cell.

***

Entry 8:
The following is a DFT calculation (PBE) of a relaxed Na3Pa2TlTe6 crystal.

The space group is C2/m (No. 12) and the conventional cell measures 19.678, 4.463 and 9.472 Å, with angles of 90.00, 101.54 and 90.00 degrees. The asymmetric unit holds Na at (0.000, 0.000, 0.000), Na at (0.155, 0.500, 0.342), Pa at (0.166, 0.500, 0.838), Tl at (0.000, 0.000, 0.500), Te at (0.013, 0.500, 0.771), Te at (0.171, 0.000, 0.074) and Te at (0.177, 0.000, 0.617).

The total magnetization comes out at 4.0 μB/cell.

***

Entry 9:
The following is a DFT calculation (PBE) of a relaxed Na4Tm3PaTe8 crystal.

The space group is R-3m (No. 166, hexagonal axes) and the conventional cell measures 8.7558, 8.7558 and 22.8365 Å, with angles of 90.00, 90.00 and 120.00 degrees. The asymmetric unit holds Na at (0.0000, 0.0000, 0.0000), Na at (0.0000, 0.5000, 0.0000), Tm at (0.0000, 0.5000, 0.5000), Pa at (0.0000, 0.0000, 0.5000), Te at (0.0000, 0.0000, 0.2430) and Te at (0.0049, 0.5025, 0.7556).

The total magnetization comes out at 5.6 μB/cell.

***

Entry 10:
The following is a DFT calculation (PBE) of a relaxed Na3TmPa2Te6 crystal.

The space group is C2/m (No. 12) and the conventional cell measures 7.520, 13.030 and 8.153 Å, with angles of 90.00, 107.90 and 90.00 degrees. The asymmetric unit holds Na at (0.000, 0.000, 0.000), Na at (0.000, 0.333, 0.000), Tm at (0.000, 0.500, 0.500), Pa at (0.000, 0.167, 0.500), Te at (0.243, 0.336, 0.737) and Te at (0.249, 0.500, 0.264).

The total magnetization comes out at 7.7 μB/cell.

***

Entry 11:
The following is a DFT calculation (PBE) of a relaxed NaTmPaTe4 crystal.

The space group is Imma (No. 74) and the conventional cell measures 9.022, 9.281 and 12.776 Å, with angles of 90.00, 90.00 and 90.00 degrees. The asymmetric unit holds Na at (0.000, 0.250, 0.135), Tm at (0.250, 0.250, 0.750), Pa at (0.000, 0.000, 0.500), Te at (0.000, 0.027, 0.741) and Te at (0.230, 0.250, 0.509).

The total magnetization comes out at 4.0 μB/cell.

***

Entry 12:
The following is a DFT calculation (PBE) of a relaxed Na3PaV2Te6 crystal.

The space group is C2/m (No. 12) and the conventional cell measures 7.203, 12.453 and 8.003 Å, with angles of 90.00, 107.53 and 90.00 degrees. The asymmetric unit holds Na at (0.000, 0.000, 0.000), Na at (0.000, 0.341, 0.000), Pa at (0.000, 0.500, 0.500), V at (0.000, 0.167, 0.500), Te at (0.216, 0.000, 0.715) and Te at (0.250, 0.177, 0.284).

The total magnetization comes out at 12.0 μB/cell.

***

Number 1: electronic total energy -229.403 eV for the cell shown, formation energy from raw total energies -15.62 eV per formula unit. Number 2: electronic total energy -40.365 eV for the cell shown, formation energy from raw total energies -5.10 eV per formula unit. Number 3: electronic total energy -240.632 eV for the cell shown, formation energy from raw total energies -13.42 eV per formula unit. Number 4: electronic total energy -89.656 eV for the cell shown, formation energy from raw total energies -6.75 eV per formula unit. Number 5: electronic total energy -224.821 eV for the cell shown, formation energy from raw total energies -10.53 eV per formula unit. Number 6: electronic total energy -33.336 eV for the cell shown, formation energy from raw total energies -6.27 eV per formula unit. Number 7: electronic total energy -33.522 eV for the cell shown, formation energy from raw total energies -5.41 eV per formula unit. Number 8: electronic total energy -108.097 eV for the cell shown, formation energy from raw total energies -9.88 eV per formula unit. Number 9: electronic total energy -215.748 eV for the cell shown, formation energy from raw total energies -18.60 eV per formula unit. Number 10: electronic total energy -116.069 eV for the cell shown, formation energy from raw total energies -11.76 eV per formula unit. Number 11: electronic total energy -140.304 eV for the cell shown, formation energy from raw total energies -7.22 eV per formula unit. Number 12: electronic total energy -118.038 eV for the cell shown, formation energy from raw total energies -8.48 eV per formula unit.